*A*
{
  "formula": "HgBPO",
  "functional": "PBE-GGA",
  "state": "optimized geometry",
  "lattice_angstrom": [[3.6890, 0.0000, 0.0000], [0.0000, 3.6890, 0.0000], [0.0000, 0.0000, 9.3976]],
  "species": ["Hg", "Hg", "B", "O", "P", "P", "O", "B"],
  "fractional_positions": [[0.2500, 0.2500, 0.1417], [0.7500, 0.7500, 0.8583], [0.2500, 0.7500, 0.5000], [0.7500, 0.2500, 0.0000], [0.2500, 0.2500, 0.3957], [0.7500, 0.7500, 0.6043], [0.2500, 0.7500, 0.0000], [0.7500, 0.2500, 0.5000]]
}


*B*
{
  "formula": "HgBPO",
  "functional": "PBE-GGA",
  "state": "optimized geometry",
  "lattice_angstrom": [[3.8523, 0.0000, 0.0000], [0.0000, 3.8523, 0.0000], [0.0000, 0.0000, 8.2869]],
  "species": ["B", "B", "P", "Hg", "O", "Hg", "P", "O"],
  "fractional_positions": [[0.0000, 0.5000, 0.0544], [0.5000, 0.0000, 0.9456], [0.0000, 0.5000, 0.2871], [0.5000, 0.5000, 0.5000], [0.0000, 0.0000, 0.0000], [0.0000, 0.0000, 0.5000], [0.5000, 0.0000, 0.7129], [0.5000, 0.5000, 0.0000]]
}


*C*
{
  "formula": "HgBPO",
  "functional": "PBE-GGA",
  "state": "optimized geometry",
  "lattice_angstrom": [[2.5182, 0.0000, 0.0000], [0.0000, 8.2320, 0.0000], [0.0000, 0.0000, 5.8761]],
  "species": ["Hg", "Hg", "B", "O", "P", "B", "P", "O"],
  "fractional_positions": [[0.5000, 0.8950, 0.0166], [0.5000, 0.1050, 0.5166], [0.0000, 0.3639, 0.9816], [0.5000, 0.2862, 0.9256], [0.0000, 0.4068, 0.3303], [0.0000, 0.6361, 0.4816], [0.0000, 0.5932, 0.8303], [0.5000, 0.7138, 0.4256]]
}


*D*
{
  "formula": "HgBPO",
  "functional": "PBE-GGA",
  "state": "optimized geometry",
  "lattice_angstrom": [[3.3736, 0.0000, 0.0000], [0.0000, 7.3962, 0.0000], [0.0000, 0.0000, 4.7272]],
  "species": ["O", "P", "B", "O", "Hg", "B", "Hg", "P"],
  "fractional_positions": [[0.5000, 0.9517, 0.3079], [0.0000, 0.2484, 0.4656], [0.5000, 0.0916, 0.5103], [0.5000, 0.0483, 0.8079], [0.0000, 0.6521, 0.4702], [0.5000, 0.9084, 0.0103], [0.0000, 0.3479, 0.9702], [0.0000, 0.7516, 0.9656]]
}


*D* has the most favorable energy; the next structure is 2.8 kJ/mol of atoms above.


*A*
{
  "formula": "PaHgB",
  "functional": "PBE-GGA",
  "state": "optimized geometry",
  "lattice_angstrom": [[-2.1840, -1.2737, 3.5926], [-3.5953, -2.4950, -0.3843], [0.1023, -4.2084, 1.2562]],
  "species": ["Pa", "Hg", "B"],
  "fractional_positions": [[0.7500, 0.7500, 0.7500], [0.2500, 0.2500, 0.2500], [0.0000, 0.0000, 0.0000]],
  "magnetic_moment_mub_per_fu": 0.1
}


*B*
{
  "formula": "PaHgB",
  "functional": "PBE-GGA",
  "state": "optimized geometry",
  "lattice_angstrom": [[0.0000, 3.2876, 3.2876], [3.2876, 0.0000, 3.2876], [3.2876, 3.2876, 0.0000]],
  "species": ["Pa", "Hg", "B"],
  "fractional_positions": [[0.0000, 0.0000, 0.0000], [0.7500, 0.7500, 0.7500], [0.2500, 0.2500, 0.2500]],
  "magnetic_moment_mub_per_fu": 0.0
}


*C*
{
  "formula": "PaHgB",
  "functional": "PBE-GGA",
  "state": "optimized geometry",
  "lattice_angstrom": [[0.0000, 3.2325, 3.2325], [3.2325, 0.0000, 3.2325], [3.2325, 3.2325, 0.0000]],
  "species": ["Hg", "B", "Pa"],
  "fractional_positions": [[0.0000, 0.0000, 0.0000], [0.2500, 0.2500, 0.2500], [0.7500, 0.7500, 0.7500]],
  "magnetic_moment_mub_per_fu": 0.0
}


*A* has the most favorable energy; the next structure is 58.2 kJ/mol of atoms above.